# PuBe2NiO8

PuBe2NiO8 after structural relaxation (PBE with a Hubbard U, Alexandria).

Values from the calculation:
magnetization	6.0	Bohr magnetons per cell
density	5.3	g cm⁻³
calculated total energy	-6.754	eV/atom

a b c (Å): 5.3913 5.3913 5.5845
angles (deg): 90.00 90.00 120.00
Fractional positions:
Pu (0.0000, 0.0000, 0.0000)
Be (0.3333, 0.6667, 0.6890)
Be (0.6667, 0.3333, 0.3110)
Ni (0.0000, 0.0000, 0.5000)
O (0.1643, 0.3286, 0.7638)
O (0.1643, 0.8357, 0.7638)
O (0.3286, 0.1643, 0.2362)
O (0.3333, 0.6667, 0.3974)
O (0.6667, 0.3333, 0.6026)
O (0.6714, 0.8357, 0.7638)
O (0.8357, 0.1643, 0.2362)
O (0.8357, 0.6714, 0.2362)